Record 1
Here is a relaxed InCoPdF6 crystal from the Alexandria database. Energies are from GGA+U.

Its total magnetization is 4.00 μB per formula unit. The density of states at the Fermi level is 11.48 states/eV/cell. The calculated total energy is -81.86 eV for the cell shown.

It has space group P-31c (No. 163), with a = 5.6064 Å, b = 5.6064 Å, c = 9.8999 Å, α = 90.00°, β = 90.00° and γ = 120.00°. The inequivalent atoms are In at (0.3333, 0.6667, 0.2500), Co at (0.3333, 0.6667, 0.7500), Pd at (0.0000, 0.0000, 0.0000) and F at (0.0070, 0.3650, 0.6402).

***

Record 2
Here is a relaxed Na2MnF4 crystal from the Alexandria database. Energies are from GGA+U.

Its total magnetization is 5.00 μB per formula unit. The density of states at the Fermi level is 0.00 states/eV/cell. The calculated total energy is -72.87 eV for the cell shown. The value obtained for the polymorph energy (0 for the lowest one) is 0.0 kJ/mol of formula units.

It has space group C2/m (No. 12), with a = 11.474 Å, b = 3.307 Å, c = 5.817 Å, α = 90.00°, β = 117.59° and γ = 90.00°. The inequivalent atoms are Na at (0.196, 0.000, 0.183), Mn at (0.000, 0.500, 0.500), F at (0.117, 0.500, 0.897) and F at (0.128, 0.000, 0.495).